Entry from the Alexandria database: an optimized crystal structure of AgWNO2 (PBE+U).

## Properties
Space-group type: No. 123
VASP energy: -31.6 eV/cell

POSCAR file:
```
AgWNO2
1.0
3.9452 0.0000 0.0000
0.0000 3.9452 0.0000
0.0000 0.0000 4.0183
Ag W N O
1 1 1 2
direct
0.0000 0.0000 0.0000
0.5000 0.5000 0.5000
0.5000 0.5000 0.0000
0.0000 0.5000 0.5000
0.5000 0.0000 0.5000
```